(1)
## Cs2Na4I3Cl2 (PBE-GGA)

Data for a relaxed structure of Cs2Na4I3Cl2.

Computed properties:
**ΔE_f (raw)**: -14.8 eV/f.u.
**D(E_F)**: 1.4 states/eV per cell

```
data_Cs2Na4I3Cl2
_chemical_formula_sum 'Cs2 Na4 I3 Cl2'
_cell_length_a 17.2348
_cell_length_b 17.2348
_cell_length_c 17.2348
_cell_angle_alpha 162.17
_cell_angle_beta 162.17
_cell_angle_gamma 25.32
_symmetry_space_group_name_H-M 'P 1'
_symmetry_Int_Tables_number 1
loop_
_symmetry_equiv_pos_as_xyz
'x,y,z'
loop_
_atom_site_label
_atom_site_fract_x
_atom_site_fract_y
_atom_site_fract_z
Cs1 0.1813 0.1813 0.0000
Cs2 0.8187 0.8187 0.0000
Na1 0.0661 0.5661 0.5000
Na2 0.4339 0.9339 0.5000
Na3 0.5661 0.0661 0.5000
Na4 0.9339 0.4339 0.5000
I1 0.3714 0.3714 0.0000
I2 0.5000 0.5000 0.0000
I3 0.6286 0.6286 0.0000
Cl1 0.0712 0.0712 0.0000
Cl2 0.9288 0.9288 0.0000
```

(2)
## HoMgI6 (PBE-GGA)

Data for a relaxed structure of HoMgI6.

Computed properties:
**ΔE_f (raw)**: -7.4 eV/f.u.
**D(E_F)**: 12.2 states/eV per cell

```
data_HoMgI6
_chemical_formula_sum 'Ho1 Mg1 I6'
_cell_length_a 7.4358
_cell_length_b 7.4379
_cell_length_c 7.8736
_cell_angle_alpha 62.00
_cell_angle_beta 61.96
_cell_angle_gamma 60.01
_symmetry_space_group_name_H-M 'P 1'
_symmetry_Int_Tables_number 1
loop_
_symmetry_equiv_pos_as_xyz
'x,y,z'
loop_
_atom_site_label
_atom_site_fract_x
_atom_site_fract_y
_atom_site_fract_z
Ho1 0.0000 0.0000 0.0000
Mg1 0.5000 0.5000 0.5000
I1 0.0851 0.7461 0.7457
I2 0.2551 0.5775 0.2525
I3 0.4217 0.0861 0.7463
I4 0.5783 0.9139 0.2537
I5 0.7449 0.4225 0.7475
I6 0.9149 0.2539 0.2543
```

(3)
## ZrTi2AlC (PBE-GGA)

Data for a relaxed structure of ZrTi2AlC.

Computed properties:
**ΔH_f (0 K)**: -0.551 eV/atom
**D(E_F)**: 4.0 states/eV per cell

```
data_ZrTi2AlC
_chemical_formula_sum 'Zr1 Ti2 Al1 C1'
_cell_length_a 4.2013
_cell_length_b 4.2013
_cell_length_c 4.5282
_cell_angle_alpha 90.00
_cell_angle_beta 90.00
_cell_angle_gamma 90.00
_symmetry_space_group_name_H-M 'P 1'
_symmetry_Int_Tables_number 1
loop_
_symmetry_equiv_pos_as_xyz
'x,y,z'
loop_
_atom_site_label
_atom_site_fract_x
_atom_site_fract_y
_atom_site_fract_z
Zr1 0.0000 0.0000 0.0000
Ti1 0.0000 0.5000 0.5000
Ti2 0.5000 0.0000 0.5000
Al1 0.5000 0.5000 0.0000
C1 0.0000 0.0000 0.5000
```

(4)
## TePW4 (PBE-GGA)

Data for a relaxed structure of TePW4.

Computed properties:
**ΔE_f (raw)**: 6.0 eV/f.u.
**D(E_F)**: 4.9 states/eV per cell

```
data_TePW4
_chemical_formula_sum 'Te1 P1 W4'
_cell_length_a 5.3690
_cell_length_b 5.3690
_cell_length_c 5.3690
_cell_angle_alpha 60.00
_cell_angle_beta 60.00
_cell_angle_gamma 60.00
_symmetry_space_group_name_H-M 'P 1'
_symmetry_Int_Tables_number 1
loop_
_symmetry_equiv_pos_as_xyz
'x,y,z'
loop_
_atom_site_label
_atom_site_fract_x
_atom_site_fract_y
_atom_site_fract_z
Te1 0.0000 0.0000 0.0000
P1 0.7500 0.7500 0.7500
W1 0.3759 0.3759 0.3759
W2 0.3759 0.3759 0.8723
W3 0.3759 0.8723 0.3759
W4 0.8723 0.3759 0.3759
```

(5)
## Pm3ErHg6 (PBE-GGA)

Data for a relaxed structure of Pm3ErHg6.

Computed properties:
**ΔH_f (0 K)**: 0.271 eV/atom
**D(E_F)**: 12.3 states/eV per cell
**Distance to the lowest polymorph of the same formula**: 701 meV/atom

```
data_Pm3ErHg6
_chemical_formula_sum 'Pm3 Er1 Hg6'
_cell_length_a 7.8835
_cell_length_b 7.8835
_cell_length_c 7.8835
_cell_angle_alpha 60.00
_cell_angle_beta 60.00
_cell_angle_gamma 60.00
_symmetry_space_group_name_H-M 'P 1'
_symmetry_Int_Tables_number 1
loop_
_symmetry_equiv_pos_as_xyz
'x,y,z'
loop_
_atom_site_label
_atom_site_fract_x
_atom_site_fract_y
_atom_site_fract_z
Pm1 0.0000 0.0000 0.0000
Pm2 0.2500 0.2500 0.2500
Pm3 0.7500 0.7500 0.7500
Er1 0.5000 0.5000 0.5000
Hg1 0.2534 0.2534 0.7466
Hg2 0.2534 0.7466 0.2534
Hg3 0.2534 0.7466 0.7466
Hg4 0.7466 0.2534 0.2534
Hg5 0.7466 0.2534 0.7466
Hg6 0.7466 0.7466 0.2534
```

(6)
## K2TbCd2Se4 (PBE-GGA)

Data for a relaxed structure of K2TbCd2Se4.

Computed properties:
**ΔE_f (raw)**: -9.8 eV/f.u.
**D(E_F)**: 3.4 states/eV per cell

```
data_K2TbCd2Se4
_chemical_formula_sum 'K2 Tb1 Cd2 Se4'
_cell_length_a 8.5892
_cell_length_b 8.5892
_cell_length_c 8.3453
_cell_angle_alpha 113.41
_cell_angle_beta 113.41
_cell_angle_gamma 28.25
_symmetry_space_group_name_H-M 'P 1'
_symmetry_Int_Tables_number 1
loop_
_symmetry_equiv_pos_as_xyz
'x,y,z'
loop_
_atom_site_label
_atom_site_fract_x
_atom_site_fract_y
_atom_site_fract_z
K1 0.1258 0.1258 0.0608
K2 0.8742 0.8742 0.9392
Tb1 0.0000 0.0000 0.5000
Cd1 0.3124 0.3124 0.4821
Cd2 0.6876 0.6876 0.5179
Se1 0.1888 0.1888 0.7293
Se2 0.4792 0.4792 0.7264
Se3 0.5208 0.5208 0.2736
Se4 0.8112 0.8112 0.2707
```

Short version: V = 43.6 39.6 16.0 18.2 34.6 29.5 A^3/atom, in the order given.